# 1
Computed, not measured: InOs2Au after structural relaxation at the PBEsol level of DFT.

Cell lengths 2.800, 2.800, 9.367 Å; angles 90.00, 90.00, 118.49 degrees
Positions (direct):
Au (0.500, 0.500, 0.500)
In (0.500, 0.500, 0.000)
Os (0.000, 0.000, 0.752)
Os (0.000, 0.000, 0.248)

N(E_F), states/eV per cell: 4.22
Energy of formation from the pure elements, eV per atom: 0.786
Magnetization, μB per formula unit: 0.00

---

# 2
Computed, not measured: TiGeRh2C after structural relaxation at the PBEsol level of DFT.

Cell lengths 3.859, 3.859, 4.684 Å; angles 90.00, 90.00, 90.00 degrees
Positions (direct):
Rh (0.500, 0.000, 0.000)
Ti (0.500, 0.500, 0.500)
C (0.000, 0.000, 0.000)
Ge (0.000, 0.000, 0.500)
Rh (0.000, 0.500, 0.000)

N(E_F), states/eV per cell: 2.40
Energy of formation from the pure elements, eV per atom: 0.076
Magnetization, μB per formula unit: 0.00

---

# 3
Computed, not measured: Co2AsAu after structural relaxation at the PBEsol level of DFT.

Cell lengths 2.745, 2.745, 8.803 Å; angles 81.03, 81.03, 60.00 degrees
Positions (direct):
Co (0.747, 0.747, 0.760)
Co (0.010, 0.010, 0.969)
Au (0.259, 0.259, 0.224)
As (0.484, 0.484, 0.547)

N(E_F), states/eV per cell: 3.88
Energy of formation from the pure elements, eV per atom: 0.229
Magnetization, μB per formula unit: 3.04